[1]
# PBE NdNiPd, optimized geometry
data_NdNiPd
_cell_length_a 4.3149
_cell_length_b 4.3149
_cell_length_c 23.0677
_cell_angle_alpha 90.00
_cell_angle_beta 90.00
_cell_angle_gamma 120.00
_space_group_name_H-M_alt 'R -3 m'
_space_group_IT_number 166
_space_group_name_Hall '-R 3 2"'
loop_
_atom_site_label
_atom_site_fract_x
_atom_site_fract_y
_atom_site_fract_z
Nd1 0.0000 0.0000 0.2387
Ni1 0.0000 0.0000 0.3557
Pd1 0.0000 0.0000 0.0000
Pd2 0.0000 0.0000 0.5000
# Fermi-level density of states in states/eV per cell: 15.52
# M_tot in μB/atom: 0.00
# Calculated formation energy in meV/atom: -475



[2]
# PBE Nd2Ni9Pd, optimized geometry
data_Nd2Ni9Pd
_cell_length_a 4.9637
_cell_length_b 4.9637
_cell_length_c 24.2575
_cell_angle_alpha 90.00
_cell_angle_beta 90.00
_cell_angle_gamma 120.00
_space_group_name_H-M_alt 'R -3 m'
_space_group_IT_number 166
_space_group_name_Hall '-R 3 2"'
loop_
_atom_site_label
_atom_site_fract_x
_atom_site_fract_y
_atom_site_fract_z
Nd1 0.0000 0.0000 0.1323
Ni1 0.0000 0.0000 0.3327
Ni2 0.0000 0.0000 0.5000
Ni3 0.0007 0.5004 0.0795
Pd1 0.0000 0.0000 0.0000
# Fermi-level density of states in states/eV per cell: 40.68
# M_tot in μB/atom: 0.26
# Calculated formation energy in meV/atom: -123



[3]
# PBE Nd2NiPd, optimized geometry
data_Nd2NiPd
_cell_length_a 5.719
_cell_length_b 4.470
_cell_length_c 7.811
_cell_angle_alpha 90.00
_cell_angle_beta 110.09
_cell_angle_gamma 90.00
_space_group_name_H-M_alt 'P 1 21/m 1'
_space_group_IT_number 11
loop_
_space_group_symop_operation_xyz
'x,y,z'
'-x,-y,-z'
'-x,y+1/2,-z'
'x,-y+1/2,z'
loop_
_atom_site_label
_atom_site_fract_x
_atom_site_fract_y
_atom_site_fract_z
Nd1 0.220 0.250 0.435
Nd2 0.229 0.250 0.928
Ni1 0.344 0.750 0.710
Pd1 0.338 0.750 0.212
# Fermi-level density of states in states/eV per cell: 4.98
# E above lowest polymorph in meV/atom: 0
# M_tot in μB/atom: 0.00
# Calculated formation energy in meV/atom: -550



[4]
# PBE Nd2Ni2Pd, optimized geometry
data_Nd2Ni2Pd
_cell_length_a 3.878
_cell_length_b 13.834
_cell_length_c 3.788
_cell_angle_alpha 90.00
_cell_angle_beta 90.00
_cell_angle_gamma 90.00
_space_group_name_H-M_alt 'C m m m'
_space_group_IT_number 65
_space_group_name_Hall '-C 2 2'
loop_
_atom_site_label
_atom_site_fract_x
_atom_site_fract_y
_atom_site_fract_z
Nd1 0.000 0.127 0.000
Ni1 0.000 0.301 0.500
Pd1 0.000 0.500 0.500
# Fermi-level density of states in states/eV per cell: 7.02
# E above lowest polymorph in meV/atom: 0
# M_tot in μB/atom: 0.00
# Calculated formation energy in meV/atom: -493